Material: RbZnCr2F8
Method: DFT, GGA+U
State: optimized geometry

Values from the calculation:
For the spin magnetization, the calculation gives 7.000 μB/f.u. The value obtained for the electronic total energy is -5.179 eV/atom.

```
12
Lattice="5.085 0.000 0.000 0.396 5.116 0.000 0.011 0.009 6.812" Properties=species:S:1:pos:R:3 pbc="T T T"
Rb 0.000 0.000 0.000
Zn 0.006 0.005 3.406
Cr 2.744 2.560 1.789
Cr 2.749 2.564 5.023
F 1.480 4.063 4.761
F 1.479 4.062 2.050
F 1.691 1.666 3.406
F 1.847 1.859 6.810
F 3.646 3.265 0.001
F 3.801 3.458 3.406
F 4.013 1.063 4.762
F 4.012 1.062 2.051
```